[1]
The following is a PBE calculation of a relaxed CdCu4Ag crystal, from Alexandria.

Lattice parameters (Å, degrees): 7.040 7.040 7.040 90.00 90.00 90.00
Space group F-43m (No. 216)
One atom of each set of equivalent atoms:
Cd  0.000  0.000  0.000
Cu  0.125  0.125  0.625
Ag  0.250  0.250  0.250

For the formation energy, the calculation gives 0.04 eV per atom. The magnetization comes out at 0.000 μB per formula unit. The crystal system is cubic.



[2]
The following is a PBE calculation of a relaxed CdCu2Ag crystal, from Alexandria.

Lattice parameters (Å, degrees): 2.972 3.602 5.874 90.00 90.00 90.00
Space group Pmmm (No. 47)
One atom of each set of equivalent atoms:
Cd  0.000  0.000  0.000
Cu  0.500  0.500  0.261
Ag  0.000  0.000  0.500

For the formation energy, the calculation gives 0.09 eV per atom. The magnetization comes out at 0.000 μB per formula unit. The crystal system is orthorhombic.



[3]
The following is a PBE calculation of a relaxed CdCu2Ag crystal, from Alexandria.

Lattice parameters (Å, degrees): 4.146 4.146 7.300 90.00 90.00 90.00
Space group I4/mmm (No. 139)
One atom of each set of equivalent atoms:
Cd  0.000  0.000  0.000
Cu  0.000  0.500  0.250
Ag  0.000  0.000  0.500

For the formation energy, the calculation gives 0.08 eV per atom. The magnetization comes out at 0.000 μB per formula unit. The crystal system is tetragonal.



[4]
The following is a PBE calculation of a relaxed CdCu2Ag crystal, from Alexandria.

Lattice parameters (Å, degrees): 2.8874 2.8874 26.6389 90.00 90.00 120.00
Space group R3m (No. 160, hexagonal axes)
One atom of each set of equivalent atoms:
Cd  0.0000  0.0000  0.0000
Cu  0.0000  0.0000  0.4892
Cu  0.0000  0.0000  0.7528
Ag  0.0000  0.0000  0.2370

For the formation energy, the calculation gives 0.11 eV per atom. The magnetization comes out at 0.000 μB per formula unit. The crystal system is trigonal.



[5]
The following is a PBE calculation of a relaxed CdCuAg2 crystal, from Alexandria.

Lattice parameters (Å, degrees): 4.099 4.099 8.216 90.00 90.00 90.00
Space group I4/mmm (No. 139)
One atom of each set of equivalent atoms:
Cd  0.000  0.000  0.000
Cu  0.000  0.000  0.500
Ag  0.000  0.500  0.250

For the formation energy, the calculation gives 0.04 eV per atom. The magnetization comes out at 0.000 μB per formula unit. The crystal system is tetragonal.



[6]
The following is a PBE calculation of a relaxed CdCu2Ag crystal, from Alexandria.

Lattice parameters (Å, degrees): 2.967 2.967 7.127 90.00 90.00 90.00
Space group P4/mmm (No. 123)
One atom of each set of equivalent atoms:
Cd  0.000  0.000  0.000
Cu  0.500  0.500  0.259
Ag  0.000  0.000  0.500

For the formation energy, the calculation gives 0.10 eV per atom. The magnetization comes out at 0.000 μB per formula unit. The crystal system is tetragonal.



[7]
The following is a PBE calculation of a relaxed CdCu2Ag crystal, from Alexandria.

Lattice parameters (Å, degrees): 2.923 4.194 5.353 90.00 105.00 90.00
Space group Pm (No. 6)
One atom of each set of equivalent atoms:
Cd  0.000  0.000  0.000
Cu  0.602  0.500  0.215
Cu  0.736  0.000  0.469
Ag  0.333  0.500  0.675

For the formation energy, the calculation gives 0.08 eV per atom. The magnetization comes out at 0.000 μB per formula unit. The crystal system is monoclinic.



[8]
The following is a PBE calculation of a relaxed Cd5CuAg6 crystal, from Alexandria.

Lattice parameters (Å, degrees): 4.235 8.457 12.630 90.00 90.00 90.00
Space group Immm (No. 71)
One atom of each set of equivalent atoms:
Cd  0.000  0.000  0.000
Cd  0.000  0.000  0.344
Cd  0.000  0.500  0.330
Cu  0.000  0.500  0.000
Ag  0.000  0.248  0.500
Ag  0.000  0.255  0.163

For the formation energy, the calculation gives -0.01 eV per atom. The magnetization comes out at 0.000 μB per formula unit. The crystal system is orthorhombic.



[9]
The following is a PBE calculation of a relaxed Cd8Cu4Ag crystal, from Alexandria.

Lattice parameters (Å, degrees): 9.480 9.480 5.422 90.00 90.00 90.00
Space group I4/mmm (No. 139)
One atom of each set of equivalent atoms:
Cd  0.000  0.216  0.000
Cd  0.000  0.326  0.500
Cu  0.250  0.250  0.250
Ag  0.000  0.000  0.500

For the formation energy, the calculation gives 0.05 eV per atom. The magnetization comes out at 0.000 μB per formula unit. The crystal system is tetragonal.



[10]
The following is a PBE calculation of a relaxed Cd4CuAg7 crystal, from Alexandria.

Lattice parameters (Å, degrees): 5.195 5.867 7.816 98.32 108.36 90.97
Space group P-1 (No. 2)
One atom of each set of equivalent atoms:
Cd  0.178  0.163  0.180
Cd  0.322  0.576  0.827
Cu  0.500  0.000  0.500
Ag  0.005  0.757  0.497
Ag  0.175  0.671  0.172
Ag  0.334  0.079  0.827
Ag  0.500  0.500  0.500

For the formation energy, the calculation gives 0.00 eV per atom. The magnetization comes out at 0.000 μB per formula unit. The crystal system is triclinic.



[11]
The following is a PBE calculation of a relaxed CdCuAg2 crystal, from Alexandria.

Lattice parameters (Å, degrees): 5.774 5.854 8.170 90.00 90.00 90.00
Space group F222 (No. 22)
One atom of each set of equivalent atoms:
Cd  0.000  0.000  0.000
Cu  0.250  0.250  0.250
Ag  0.000  0.000  0.500
Ag  0.250  0.250  0.750

For the formation energy, the calculation gives 0.05 eV per atom. The magnetization comes out at 0.000 μB per formula unit. The crystal system is orthorhombic.



[12]
The following is a PBE calculation of a relaxed Cd3CuAg12 crystal, from Alexandria.

Lattice parameters (Å, degrees): 4.208 4.208 16.426 90.00 90.00 90.00
Space group P4/mmm (No. 123)
One atom of each set of equivalent atoms:
Cd  0.000  0.000  0.000
Cd  0.000  0.000  0.256
Cu  0.000  0.000  0.500
Ag  0.000  0.500  0.128
Ag  0.000  0.500  0.384
Ag  0.500  0.500  0.000
Ag  0.500  0.500  0.256
Ag  0.500  0.500  0.500

For the formation energy, the calculation gives 0.00 eV per atom. The magnetization comes out at 0.000 μB per formula unit. The crystal system is tetragonal.



[13]
The following is a PBE calculation of a relaxed CdCu2Ag crystal, from Alexandria.

Lattice parameters (Å, degrees): 3.939 3.939 8.098 90.00 90.00 90.00
Space group I-4m2 (No. 119)
One atom of each set of equivalent atoms:
Cd  0.000  0.000  0.000
Cu  0.000  0.000  0.500
Cu  0.000  0.500  0.750
Ag  0.000  0.500  0.250

For the formation energy, the calculation gives 0.08 eV per atom. The magnetization comes out at 0.000 μB per formula unit. The crystal system is tetragonal.



[14]
The following is a PBE calculation of a relaxed CdCuAg6 crystal, from Alexandria.

Lattice parameters (Å, degrees): 5.4733 5.4733 22.1233 90.00 90.00 120.00
Space group R-3m (No. 166, hexagonal axes)
One atom of each set of equivalent atoms:
Cd  0.0000  0.0000  0.0000
Cu  0.0000  0.0000  0.5000
Ag  0.0014  0.5007  0.4381

For the formation energy, the calculation gives 0.37 eV per atom. The magnetization comes out at 0.000 μB per formula unit. The crystal system is trigonal. For the energy above the most stable polymorph in this dataset, the calculation gives 341 meV/atom.



[15]
The following is a PBE calculation of a relaxed CdCuAg2 crystal, from Alexandria.

Lattice parameters (Å, degrees): 9.759 3.059 4.833 90.00 105.68 90.00
Space group C2/m (No. 12)
One atom of each set of equivalent atoms:
Cd  0.000  0.000  0.000
Cu  0.000  0.500  0.500
Ag  0.236  0.000  0.737

For the formation energy, the calculation gives 0.05 eV per atom. The magnetization comes out at 0.000 μB per formula unit. The crystal system is monoclinic.



[16]
The following is a PBE calculation of a relaxed CdCuAg2 crystal, from Alexandria.

Lattice parameters (Å, degrees): 3.368 4.522 9.087 90.00 90.00 90.00
Space group Imm2 (No. 44)
One atom of each set of equivalent atoms:
Cd  0.000  0.000  0.000
Cu  0.000  0.500  0.737
Ag  0.000  0.000  0.467
Ag  0.000  0.500  0.233

For the formation energy, the calculation gives 0.06 eV per atom. The magnetization comes out at 0.000 μB per formula unit. The crystal system is orthorhombic.



[17]
The following is a PBE calculation of a relaxed CdCuAg2 crystal, from Alexandria.

Lattice parameters (Å, degrees): 9.711 3.057 4.850 90.00 105.18 90.00
Space group Cm (No. 8)
One atom of each set of equivalent atoms:
Cd  0.000  0.000  0.000
Cu  0.258  0.000  0.759
Ag  0.023  0.500  0.520
Ag  0.263  0.500  0.266

For the formation energy, the calculation gives 0.06 eV per atom. The magnetization comes out at 0.000 μB per formula unit. The crystal system is monoclinic.



[18]
The following is a PBE calculation of a relaxed CdCuAg6 crystal, from Alexandria.

Lattice parameters (Å, degrees): 4.138 4.138 8.257 90.00 90.00 90.00
Space group P4/mmm (No. 123)
One atom of each set of equivalent atoms:
Cd  0.000  0.000  0.000
Cu  0.000  0.000  0.500
Ag  0.000  0.500  0.262
Ag  0.500  0.500  0.000
Ag  0.500  0.500  0.500

For the formation energy, the calculation gives 0.03 eV per atom. The magnetization comes out at 0.000 μB per formula unit. The crystal system is tetragonal. For the energy above the most stable polymorph in this dataset, the calculation gives 0 meV/atom.



[19]
The following is a PBE calculation of a relaxed CdCu2Ag crystal, from Alexandria.

Lattice parameters (Å, degrees): 5.840 6.995 3.075 90.00 90.00 90.00
Space group Cmmm (No. 65)
One atom of each set of equivalent atoms:
Cd  0.000  0.000  0.000
Cu  0.250  0.250  0.500
Ag  0.000  0.500  0.000

For the formation energy, the calculation gives 0.09 eV per atom. The magnetization comes out at 0.000 μB per formula unit. The crystal system is orthorhombic.



[20]
The following is a PBE calculation of a relaxed CdCuAg2 crystal, from Alexandria.

Lattice parameters (Å, degrees): 7.418 7.418 5.491 90.00 90.00 90.00
Space group I-42d (No. 122)
One atom of each set of equivalent atoms:
Cd  0.000  0.000  0.000
Cu  0.000  0.000  0.500
Ag  0.222  0.250  0.625

For the formation energy, the calculation gives 0.24 eV per atom. The magnetization comes out at 0.000 μB per formula unit. The crystal system is tetragonal.